Entry 1:
The following is a GGA-PBE calculation of Rb3ScBi2S6 after structural relaxation, from the Alexandria database.

abc: 7.101 7.101 8.013
angles: 98.50 98.50 119.99
Fractional positions:
1 S 0.064 0.377 0.192
2 Bi 0.666 0.334 0.000
3 Sc 0.000 0.000 0.000
4 S 0.623 0.936 0.808
5 Rb 0.500 0.500 0.500
6 S 0.248 0.248 0.806
7 Rb 0.171 0.829 0.500
8 S 0.936 0.623 0.808
9 Bi 0.334 0.666 0.000
10 S 0.752 0.752 0.194
11 S 0.377 0.064 0.192
12 Rb 0.829 0.171 0.500

Raw formation energy   -1.085 eV per atom
V   334 Å³/f.u.
N(E_F)   0.0 states/eV/cell
Calculated density   4.5 Mg/m³

***

Entry 2:
The following is a GGA-PBE calculation of Nb8Mo2Os after structural relaxation, from the Alexandria database.

abc: 5.305 8.329 8.329
angles: 37.15 63.90 63.90
Fractional positions:
1 Mo 0.815 0.308 0.308
2 Nb 0.244 0.582 0.085
3 Os 0.000 0.000 0.000
4 Nb 0.756 0.915 0.418
5 Nb 0.756 0.418 0.915
6 Nb 0.351 0.104 0.104
7 Nb 0.258 0.499 0.499
8 Nb 0.742 0.501 0.501
9 Nb 0.244 0.085 0.582
10 Nb 0.649 0.896 0.896
11 Mo 0.185 0.692 0.692

V   197 Å³/f.u.
N(E_F)   11.7 states/eV/cell
Calculated formation energy   0.094 eV/atom
Calculated density   9.5 Mg/m³

***

Entry 3:
The following is a GGA-PBE calculation of Nd2NpAl9 after structural relaxation, from the Alexandria database.

abc: 5.595 5.595 9.492
angles: 72.86 72.86 60.00
Last column: magnetic moment on the atom in μB.
Fractional positions:
1 Al 0.584 0.584 0.755  -0.01
2 Al 0.500 0.500 0.500  0.00
3 Np 0.000 0.000 0.000  4.08
4 Al 0.416 0.416 0.245  -0.01
5 Al 0.923 0.416 0.245  -0.01
6 Nd 0.860 0.860 0.419  0.01
7 Al 0.666 0.666 0.003  0.01
8 Al 0.077 0.584 0.755  -0.01
9 Al 0.416 0.923 0.245  -0.01
10 Nd 0.140 0.140 0.581  0.01
11 Al 0.584 0.077 0.755  -0.01
12 Al 0.334 0.334 0.997  0.01

V   242 Å³/f.u.
N(E_F)   17.4 states/eV/cell
Calculated formation energy   -0.262 eV/atom
Calculated density   5.3 Mg/m³

***

> What is the formula in the third record?

Nd2NpAl9